No. 1
Density functional theory data (GGA-PBEsol) for RbHfF5 after structural relaxation.

The energy relative to the elements, uncorrected comes out at -3.626 eV/atom. The value obtained for the final energy is -6.650 eV per atom.

It has space group Cmce (No. 64), with a = 13.2447 Å, b = 7.8642 Å, c = 7.8604 Å, α = 90.00°, β = 90.00° and γ = 90.00°. The distinct sites, in fractional coordinates, are Rb at (0.2030, 0.0000, 0.0000), Hf at (0.0000, 0.1621, 0.3386), F at (0.0000, 0.0633, 0.7907), F at (0.0000, 0.2096, 0.0647), F at (0.0881, 0.0000, 0.5000) and F at (0.1447, 0.2143, 0.2900).

No. 2
Density functional theory data (GGA-PBEsol) for RbHfZn2F after structural relaxation.

The energy relative to the elements, uncorrected comes out at 0.197 eV/atom. The value obtained for the final energy is -3.127 eV per atom.

It has space group P4/mmm (No. 123), with a = 4.7435 Å, b = 4.7435 Å, c = 4.6867 Å, α = 90.00°, β = 90.00° and γ = 90.00°. The distinct sites, in fractional coordinates, are Rb at (0.0000, 0.0000, 0.0000), Hf at (0.5000, 0.5000, 0.0000), Zn at (0.0000, 0.5000, 0.5000) and F at (0.0000, 0.0000, 0.5000).

No. 3
Density functional theory data (GGA-PBEsol) for HfRhW2F after structural relaxation.

The energy relative to the elements, uncorrected comes out at 0.365 eV/atom. The value obtained for the final energy is -9.272 eV per atom.

It has space group P4/mmm (No. 123), with a = 4.1206 Å, b = 4.1206 Å, c = 4.3440 Å, α = 90.00°, β = 90.00° and γ = 90.00°. The distinct sites, in fractional coordinates, are Hf at (0.0000, 0.0000, 0.0000), Rh at (0.5000, 0.5000, 0.0000), W at (0.0000, 0.5000, 0.5000) and F at (0.0000, 0.0000, 0.5000).

No. 4
Density functional theory data (GGA-PBEsol) for HfS3F after structural relaxation.

The energy relative to the elements, uncorrected comes out at 0.094 eV/atom. The value obtained for the final energy is -5.023 eV per atom.

It has space group Pm-3m (No. 221), with a = 4.2913 Å, b = 4.2913 Å, c = 4.2913 Å, α = 90.00°, β = 90.00° and γ = 90.00°. The distinct sites, in fractional coordinates, are Hf at (0.0000, 0.0000, 0.0000), S at (0.0000, 0.5000, 0.5000) and F at (0.5000, 0.5000, 0.5000).

- The lowest energy relative to the elements, uncorrected belongs to which entry?
  RbHfF5